No. 1
The following is a PBE-GGA calculation of ZnRhCl after structural relaxation, from the Alexandria database.

Unit cell a=6.540 b=6.173 c=3.087 alpha=82.68 beta=69.40 gamma=27.92
Positions (direct):
Cl 0.005 0.005 0.995
Rh 0.328 0.328 0.672
Zn 0.667 0.667 0.333

Computed properties:
The value obtained for the formation energy (no corrections) is 0.03 eV/atom. Its total energy is -3.465 eV per atom. Its symmetry is Fmm2 (42).

=====

No. 2
The following is a PBE-GGA calculation of LaY6Tm3Th2 after structural relaxation, from the Alexandria database.

Unit cell a=6.199 b=6.199 c=11.762 alpha=95.06 beta=95.06 gamma=119.94
Positions (direct):
La 0.000 0.000 0.000
Y 0.915 0.577 0.750
Y 0.747 0.747 0.251
Y 0.085 0.423 0.250
Y 0.577 0.915 0.750
Y 0.253 0.253 0.749
Y 0.423 0.085 0.250
Tm 0.167 0.833 0.500
Tm 0.833 0.167 0.500
Tm 0.500 0.500 0.500
Th 0.333 0.667 0.000
Th 0.667 0.333 0.000

Computed properties:
Its formation enthalpy at 0 K is 0.04 eV/atom. Its total energy is -5.960 eV per atom. Its symmetry is C2/m (12).

=====

No. 3
The following is a PBE-GGA calculation of Be2MoPb after structural relaxation, from the Alexandria database.

Unit cell a=4.601 b=4.601 c=4.527 alpha=80.23 beta=80.23 gamma=43.98
Positions (direct):
Pb 0.250 0.250 0.250
Be 0.041 0.041 0.828
Be 0.459 0.459 0.672
Mo 0.750 0.750 0.750

Computed properties:
Its formation enthalpy at 0 K is 0.53 eV/atom. Its total energy is -4.970 eV per atom. Its symmetry is C2/m (12).

=====

No. 4
The following is a PBE-GGA calculation of InGa2PtBr after structural relaxation, from the Alexandria database.

Unit cell a=4.870 b=4.870 c=5.310 alpha=90.00 beta=90.00 gamma=90.00
Positions (direct):
Ga 0.000 0.500 0.000
Ga 0.500 0.000 0.000
Br 0.500 0.500 0.500
Pt 0.000 0.000 0.000
In 0.000 0.000 0.500

Computed properties:
The value obtained for the formation energy (no corrections) is -0.55 eV/atom. Its total energy is -3.855 eV per atom. Its symmetry is P4/mmm (123).

=====

No. 5
The following is a PBE-GGA calculation of Er8NiTe4Se3 after structural relaxation, from the Alexandria database.

Unit cell a=8.319 b=8.467 c=8.319 alpha=119.43 beta=120.00 gamma=90.00
Positions (direct):
Er 0.224 0.711 0.988
Er 0.224 0.711 0.448
Er 0.259 0.276 0.517
Er 0.764 0.711 0.988
Er 0.236 0.289 0.012
Er 0.741 0.724 0.483
Er 0.776 0.289 0.552
Er 0.776 0.289 0.012
Ni 0.000 0.500 0.000
Te 0.500 0.000 0.000
Te 0.500 0.000 0.500
Te 0.000 0.000 0.000
Te 0.000 0.000 0.500
Se 0.500 0.500 0.000
Se 0.500 0.500 0.500
Se 0.000 0.500 0.500

Computed properties:
The value obtained for the formation energy (no corrections) is -1.35 eV/atom. Its total energy is -5.432 eV per atom. Its symmetry is R-3m (166).

=====

No. 6
The following is a PBE-GGA calculation of Rb3SbCl8 after structural relaxation, from the Alexandria database.

Unit cell a=9.629 b=9.863 c=9.863 alpha=120.00 beta=90.00 gamma=90.00
Site moments in Bohr magnetons follow the coordinates.
Positions (direct):
Rb 0.683 0.693 0.846  0.00
Rb 0.683 0.154 0.307  0.00
Rb 0.683 0.154 0.846  0.00
Rb 0.183 0.307 0.154  0.00
Rb 0.183 0.846 0.693  0.00
Rb 0.183 0.846 0.154  0.00
Sb 0.157 0.333 0.667  0.00
Sb 0.657 0.667 0.333  0.00
Cl 0.018 0.099 0.550  0.00
Cl 0.018 0.450 0.901  0.00
Cl 0.018 0.450 0.550  0.00
Cl 0.518 0.901 0.450  0.00
Cl 0.518 0.550 0.099  0.00
Cl 0.518 0.550 0.450  0.00
Cl 0.803 0.434 0.217  0.00
Cl 0.803 0.783 0.566  0.00
Cl 0.803 0.783 0.217  0.00
Cl 0.303 0.566 0.783  0.00
Cl 0.303 0.217 0.434  0.00
Cl 0.303 0.217 0.783  0.00
Cl 0.663 0.333 0.667  0.05
Cl 0.163 0.667 0.333  0.05
Cl 0.942 0.000 0.000  0.00
Cl 0.442 0.000 0.000  0.00

Computed properties:
The value obtained for the formation energy (no corrections) is -1.31 eV/atom. Its total energy is -3.130 eV per atom. Its symmetry is P6_3mc (186).

=====

No. 7
The following is a PBE-GGA calculation of HoCdCu2 after structural relaxation, from the Alexandria database.

Unit cell a=3.374 b=3.374 c=6.540 alpha=90.00 beta=90.00 gamma=90.00
Positions (direct):
Ho 0.500 0.500 0.000
Cu 0.000 0.000 0.736
Cu 0.000 0.000 0.264
Cd 0.500 0.500 0.500

Computed properties:
Its formation enthalpy at 0 K is -0.10 eV/atom. Its total energy is -3.526 eV per atom. Its symmetry is P4/mmm (123).

=====

No. 8
The following is a PBE-GGA calculation of SrCaPBr after structural relaxation, from the Alexandria database.

Unit cell a=4.356 b=4.356 c=7.710 alpha=73.59 beta=73.59 gamma=60.00
Positions (direct):
Sr 0.986 0.986 0.042
Ca 0.516 0.516 0.451
P 0.245 0.245 0.264
Br 0.753 0.753 0.742

Computed properties:
The value obtained for the formation energy (no corrections) is -1.56 eV/atom. Its total energy is -4.251 eV per atom. Its symmetry is R3m (160).

=====

No. 9
The following is a PBE-GGA calculation of Cs3NaAu4 after structural relaxation, from the Alexandria database.

Unit cell a=5.248 b=7.412 c=9.956 alpha=111.85 beta=105.28 gamma=90.00
Positions (direct):
Cs 0.197 0.197 0.395
Cs 0.803 0.803 0.605
Cs 0.000 0.500 0.000
Na 0.500 0.000 0.000
Au 0.386 0.586 0.771
Au 0.614 0.414 0.229
Au 0.614 0.815 0.229
Au 0.386 0.185 0.771

Computed properties:
Its formation enthalpy at 0 K is -0.26 eV/atom. Its total energy is -2.381 eV per atom. Its symmetry is Immm (71).

=====

No. 10
The following is a PBE-GGA calculation of Nd5PS4 after structural relaxation, from the Alexandria database.

Unit cell a=4.090 b=4.090 c=14.756 alpha=97.97 beta=97.97 gamma=90.00
Positions (direct):
Nd 0.099 0.099 0.197
Nd 0.500 0.500 0.000
Nd 0.901 0.901 0.803
Nd 0.299 0.299 0.598
Nd 0.701 0.701 0.402
P 0.000 0.000 0.000
S 0.399 0.399 0.798
S 0.801 0.801 0.601
S 0.199 0.199 0.399
S 0.601 0.601 0.202

Computed properties:
The value obtained for the formation energy (no corrections) is -1.95 eV/atom. Its total energy is -6.529 eV per atom. Its symmetry is I4/mmm (139).

=====

No. 11
The following is a PBE-GGA calculation of SrCr2N after structural relaxation, from the Alexandria database.

Unit cell a=6.089 b=6.089 c=6.090 alpha=60.00 beta=60.00 gamma=90.00
Site moments in Bohr magnetons follow the coordinates.
Positions (direct):
Sr 0.000 0.000 0.000  -0.03
Sr 0.750 0.250 0.500  -0.03
N 0.500 0.500 0.000  -0.16
N 0.250 0.750 0.500  -0.16
Cr 0.375 0.125 0.250  2.30
Cr 0.375 0.625 0.250  2.35
Cr 0.375 0.625 0.750  2.40
Cr 0.875 0.625 0.750  2.45

Computed properties:
The value obtained for the formation energy (no corrections) is 0.08 eV/atom. Its total energy is -7.233 eV per atom. Its symmetry is Fd-3m (227).

=====

No. 12
The following is a PBE-GGA calculation of Er4AgPd2 after structural relaxation, from the Alexandria database.

Unit cell a=4.935 b=4.935 c=8.514 alpha=73.15 beta=73.15 gamma=60.00
Positions (direct):
Er 0.872 0.872 0.383
Er 0.128 0.128 0.617
Er 0.621 0.621 0.136
Er 0.379 0.379 0.864
Ag 0.000 0.000 0.000
Pd 0.751 0.751 0.747
Pd 0.249 0.249 0.253

Computed properties:
Its formation enthalpy at 0 K is -0.57 eV/atom. Its total energy is -5.066 eV per atom. Its symmetry is R-3m (166).